Version 1
# Tb3Ho2Tm6 | the Alexandria database | GGA-PBE | relaxed
data_Tb3Ho2Tm6
_space_group_name_H-M_alt 'P 1'
_space_group_IT_number 1
_cell_length_a 3.511
_cell_length_b 3.511
_cell_length_c 31.451
_cell_angle_alpha 86.80
_cell_angle_beta 86.80
_cell_angle_gamma 60.00
loop_
_space_group_symop_operation_xyz
'x,y,z'
loop_
_atom_site_label
_atom_site_fract_x
_atom_site_fract_y
_atom_site_fract_z
_atom_site_occupancy
Tb1 0.000 0.000 0.000 1
Tb2 0.727 0.727 0.818 1
Tb3 0.273 0.273 0.182 1
Ho1 0.545 0.545 0.364 1
Ho2 0.455 0.455 0.636 1
Tm1 0.909 0.909 0.274 1
Tm2 0.091 0.091 0.726 1
Tm3 0.818 0.818 0.545 1
Tm4 0.182 0.182 0.455 1
Tm5 0.636 0.636 0.091 1
Tm6 0.364 0.364 0.909 1
# Fermi-level density of states (states/eV/atom): 1.39
# Total magnetization (Bohr magnetons per cell): 0.0

---

Version 2
# Tb3Ho2Tm6 | the Alexandria database | GGA-PBE | relaxed
data_Tb3Ho2Tm6
_space_group_name_H-M_alt 'P 1'
_space_group_IT_number 1
_cell_length_a 4.668
_cell_length_b 4.668
_cell_length_c 16.733
_cell_angle_alpha 98.02
_cell_angle_beta 98.02
_cell_angle_gamma 90.00
loop_
_space_group_symop_operation_xyz
'x,y,z'
loop_
_atom_site_label
_atom_site_fract_x
_atom_site_fract_y
_atom_site_fract_z
_atom_site_occupancy
Tb1 0.000 0.000 0.000 1
Tb2 0.799 0.799 0.597 1
Tb3 0.201 0.201 0.403 1
Ho1 0.454 0.454 0.907 1
Ho2 0.546 0.546 0.093 1
Tm1 0.121 0.621 0.243 1
Tm2 0.621 0.121 0.243 1
Tm3 0.879 0.379 0.757 1
Tm4 0.379 0.879 0.757 1
Tm5 0.695 0.695 0.390 1
Tm6 0.305 0.305 0.610 1
# Fermi-level density of states (states/eV/atom): 1.61
# Total magnetization (Bohr magnetons per cell): 0.0

---

Winner for stability: version 1